# Ac8Pm3Sm3

A relaxed structure of Ac8Pm3Sm3 (PBE, the Alexandria database).

Values from the calculation:
space group	No. 12
uncorrected energy	-58.31	eV for the cell shown

Cell: 6.389 10.565 10.565 Å, 80.91 64.46 64.46°
Element x y z (fractional)
Ac 0.704 0.111 0.629
Ac 0.296 0.889 0.371
Ac 0.704 0.629 0.111
Ac 0.296 0.371 0.889
Ac 0.760 0.779 0.521
Ac 0.240 0.221 0.479
Ac 0.760 0.521 0.779
Ac 0.240 0.479 0.221
Pm 0.500 0.500 0.500
Pm 0.892 0.230 0.230
Pm 0.108 0.770 0.770
Sm 0.500 0.000 0.000
Sm 0.000 0.867 0.133
Sm 0.000 0.133 0.867

=====

# Nb2AlCo2

A relaxed structure of Nb2AlCo2 (PBE, the Alexandria database).

Values from the calculation:
space group	No. 127
uncorrected energy	-78.94	eV for the cell shown

Cell: 6.842 6.842 3.125 Å, 90.00 90.00 90.00°
Element x y z (fractional)
Nb 0.174 0.674 0.500
Nb 0.674 0.826 0.500
Nb 0.826 0.326 0.500
Nb 0.326 0.174 0.500
Co 0.372 0.872 0.000
Co 0.872 0.628 0.000
Co 0.628 0.128 0.000
Co 0.128 0.372 0.000
Al 0.000 0.000 0.000
Al 0.500 0.500 0.000

=====

# Ba2MgTl3Pb4

A relaxed structure of Ba2MgTl3Pb4 (PBE, the Alexandria database).

Values from the calculation:
space group	No. 115
uncorrected energy	-29.84	eV for the cell shown

Cell: 4.950 4.950 14.273 Å, 90.00 90.00 90.00°
Element x y z (fractional)
Ba 0.500 0.000 0.259
Ba 0.000 0.500 0.741
Mg 0.500 0.500 0.500
Tl 0.000 0.000 0.500
Tl 0.500 0.000 0.855
Tl 0.000 0.500 0.145
Pb 0.500 0.500 0.000
Pb 0.000 0.000 0.000
Pb 0.500 0.000 0.634
Pb 0.000 0.500 0.366

=====

# PmFe4As12

A relaxed structure of PmFe4As12 (PBE, the Alexandria database).

Values from the calculation:
space group	No. 204
uncorrected energy	-100.78	eV for the cell shown

Cell: 7.232 7.232 7.232 Å, 109.47 109.47 109.47°
Element x y z (fractional)
Pm 0.000 0.000 0.000
Fe 0.000 0.500 0.000
Fe 0.500 0.000 0.000
Fe 0.500 0.500 0.500
Fe 0.000 0.000 0.500
As 0.844 0.342 0.187
As 0.342 0.498 0.156
As 0.813 0.156 0.658
As 0.342 0.187 0.844
As 0.187 0.844 0.342
As 0.658 0.502 0.844
As 0.498 0.156 0.342
As 0.502 0.844 0.658
As 0.658 0.813 0.156
As 0.844 0.658 0.502
As 0.156 0.342 0.498
As 0.156 0.658 0.813

=====

# CrFeBr2

A relaxed structure of CrFeBr2 (PBE, the Alexandria database).

Values from the calculation:
space group	No. 71
uncorrected formation energy	0.430	eV/atom
uncorrected energy	-19.71	eV for the cell shown

Cell: 5.462 5.462 5.462 Å, 142.96 107.22 84.60°
Element x y z (fractional)
Br 0.017 0.017 0.000
Br 0.483 0.483 0.000
Cr 0.750 0.250 0.500
Fe 0.250 0.750 0.500

=====

# AuSeI

A relaxed structure of AuSeI (PBE, the Alexandria database).

Values from the calculation:
space group	No. 156
uncorrected formation energy	0.139	eV/atom
uncorrected energy	-7.90	eV for the cell shown

Cell: 4.112 4.112 5.334 Å, 90.00 90.00 120.00°
Element x y z (fractional)
I 0.000 0.000 0.034
Au 0.667 0.333 0.367
Se 0.333 0.667 0.599

=====

# BeFeW2

A relaxed structure of BeFeW2 (PBE, the Alexandria database).

Values from the calculation:
space group	No. 139
uncorrected energy	-37.30	eV for the cell shown

Cell: 4.471 4.471 4.471 Å, 128.82 128.82 75.29°
Element x y z (fractional)
Be 0.250 0.750 0.500
Fe 0.750 0.250 0.500
W 0.000 0.000 0.000
W 0.500 0.500 0.000

=====

# Ac2YTe2N2

A relaxed structure of Ac2YTe2N2 (PBE, the Alexandria database).

Values from the calculation:
space group	No. 139
uncorrected formation energy	-1.318	eV/atom
uncorrected energy	-46.84	eV for the cell shown

Cell: 4.564 4.564 9.128 Å, 104.48 104.48 90.00°
Element x y z (fractional)
Ac 0.395 0.395 0.790
Ac 0.605 0.605 0.210
Y 0.000 0.000 0.000
Te 0.183 0.183 0.366
Te 0.817 0.817 0.634
N 0.000 0.500 0.000
N 0.500 0.000 0.000

=====

Question: Among the records above, which one has the lowest uncorrected energy?
Answer: PmFe4As12